The following is a GGA-PBE calculation of MgTlIn14 after structural relaxation, from the Alexandria database.

Its magnetic moment is 0.0 μB per formula unit. For the energy of formation, the calculation gives 0.02 eV/atom.

The space group is P4/mmm (No. 123) and the conventional cell measures 7.1463, 7.1463 and 8.4555 Å, with angles of 90.00, 90.00 and 90.00 degrees. The distinct sites, in fractional coordinates, are Mg at (0.0000, 0.0000, 0.0000), Tl at (0.5000, 0.5000, 0.0000), In at (0.0000, 0.0000, 0.5000), In at (0.0000, 0.5000, 0.0000), In at (0.0000, 0.5000, 0.5000), In at (0.2450, 0.2450, 0.2501) and In at (0.5000, 0.5000, 0.5000).

The following is a GGA-PBE calculation of MgTl2In9 after structural relaxation, from the Alexandria database.

Its magnetic moment is 0.0 μB per formula unit. For the energy of formation, the calculation gives 0.03 eV/atom.

The space group is C2/m (No. 12) and the conventional cell measures 13.4552, 6.3371 and 9.4083 Å, with angles of 90.00, 123.95 and 90.00 degrees. The distinct sites, in fractional coordinates, are Mg at (0.0000, 0.0000, 0.0000), Tl at (0.0412, 0.0000, 0.3653), In at (0.0000, 0.5000, 0.5000), In at (0.0043, 0.5000, 0.8384), In at (0.2235, 0.0000, 0.9798) and In at (0.2408, 0.2491, 0.2994).

The following is a GGA-PBE calculation of MgTl12In6 after structural relaxation, from the Alexandria database.

Its magnetic moment is 0.0 μB per formula unit. For the energy of formation, the calculation gives 0.05 eV/atom.

The space group is R-3 (No. 148, hexagonal axes) and the conventional cell measures 13.3655, 13.3655 and 11.0667 Å, with angles of 90.00, 90.00 and 120.00 degrees. The distinct sites, in fractional coordinates, are Mg at (0.0000, 0.0000, 0.0000), Tl at (0.9999, 0.2596, 0.9985), Tl at (0.0788, 0.5411, 0.1128) and In at (0.0803, 0.9163, 0.7608).

The following is a GGA-PBE calculation of MgTlIn4 after structural relaxation, from the Alexandria database.

Its magnetic moment is 0.0 μB per formula unit. For the energy of formation, the calculation gives 0.02 eV/atom.

The space group is C2/m (No. 12) and the conventional cell measures 14.1005, 8.3760 and 5.7248 Å, with angles of 90.00, 103.07 and 90.00 degrees. The distinct sites, in fractional coordinates, are Mg at (0.0584, 0.0000, 0.2708), Tl at (0.2109, 0.5000, 0.6191), In at (0.0000, 0.3103, 0.5000), In at (0.1222, 0.3121, 0.0638) and In at (0.1669, 0.0000, 0.8003).

The following is a GGA-PBE calculation of Mg5TlIn8 after structural relaxation, from the Alexandria database.

Its magnetic moment is 0.0 μB per formula unit. For the energy of formation, the calculation gives 0.01 eV/atom.

The space group is I-4 (No. 82) and the conventional cell measures 8.9442, 8.9442 and 9.1190 Å, with angles of 90.00, 90.00 and 90.00 degrees. The distinct sites, in fractional coordinates, are Mg at (0.0000, 0.0000, 0.0000), Mg at (0.1281, 0.7969, 0.4153), Tl at (0.0000, 0.5000, 0.7500), In at (0.0676, 0.6626, 0.0880) and In at (0.1049, 0.8372, 0.7410).

The following is a GGA-PBE calculation of Mg4Tl3In after structural relaxation, from the Alexandria database.

Its magnetic moment is 0.0 μB per formula unit. For the energy of formation, the calculation gives 0.07 eV/atom.

The space group is Cmmm (No. 65) and the conventional cell measures 6.7828, 12.3656 and 5.0923 Å, with angles of 90.00, 90.00 and 90.00 degrees. The distinct sites, in fractional coordinates, are Mg at (0.0000, 0.2481, 0.0000), Mg at (0.2457, 0.0000, 0.5000), Tl at (0.0000, 0.5000, 0.0000), Tl at (0.2500, 0.2500, 0.5000) and In at (0.0000, 0.0000, 0.0000).

The following is a GGA-PBE calculation of MgTl6In5 after structural relaxation, from the Alexandria database.

Its magnetic moment is 0.0 μB per formula unit. For the energy of formation, the calculation gives 0.03 eV/atom.

The space group is C2/m (No. 12) and the conventional cell measures 11.6461, 16.5544 and 3.7497 Å, with angles of 90.00, 108.56 and 90.00 degrees. The distinct sites, in fractional coordinates, are Mg at (0.0000, 0.0000, 0.0000), Tl at (0.2415, 0.0000, 0.7454), Tl at (0.2487, 0.3340, 0.7476), In at (0.0000, 0.1596, 0.5000), In at (0.0000, 0.3266, 0.0000) and In at (0.0000, 0.5000, 0.5000).

The following is a GGA-PBE calculation of MgTl3In2 after structural relaxation, from the Alexandria database.

Its magnetic moment is 0.0 μB per formula unit. For the energy of formation, the calculation gives 0.01 eV/atom.

The space group is Cmmm (No. 65) and the conventional cell measures 5.5338, 18.0580 and 3.3801 Å, with angles of 90.00, 90.00 and 90.00 degrees. The distinct sites, in fractional coordinates, are Mg at (0.0000, 0.0000, 0.0000), Tl at (0.0000, 0.3153, 0.0000), Tl at (0.0000, 0.5000, 0.5000) and In at (0.0000, 0.1434, 0.5000).